HoHg4Pd7 after structural relaxation, computed with PBE-GGA.

Computed properties:
Its space group is C2/m. As for the formation energy: -2.08 eV per formula unit. As for the density of states at the Fermi level: 4.4 states/eV/cell. The raw total energy comes out at -3.6846 eV per atom.

Cell and atoms, written as POSCAR:
```
HoHg4Pd7
1.0
5.055 0.000 0.000
2.527 8.632 -0.134
2.527 0.242 5.363
Pd Ho Hg
7 1 4
Cartesian
5.055 4.792 4.002
5.055 4.082 1.227
7.582 8.070 2.585
2.527 0.000 0.000
2.527 5.700 1.188
7.582 3.174 4.041
2.527 0.804 2.644
0.000 0.000 0.000
2.527 2.877 0.840
5.055 2.132 3.191
5.055 6.742 2.038
7.582 5.997 4.389
```